Record 1
# KFe3 PBEsol optimized geometry
data_KFe3
_chemical_formula_sum 'K1 Fe3'
_cell_length_a 5.6654
_cell_length_b 5.6654
_cell_length_c 5.6654
_cell_angle_alpha 153.36
_cell_angle_beta 125.32
_cell_angle_gamma 61.84
_symmetry_space_group_name_H-M 'P 1'
_symmetry_Int_Tables_number 1
loop_
_symmetry_equiv_pos_as_xyz
'x,y,z'
loop_
_atom_site_label
_atom_site_type_symbol
_atom_site_fract_x
_atom_site_fract_y
_atom_site_fract_z
_atom_site_occupancy
K1 K 0.0000 0.0000 0.0000 1
Fe1 Fe 0.2953 0.7953 0.5000 1
Fe2 Fe 0.5000 0.5000 0.0000 1
Fe3 Fe 0.7047 0.2047 0.5000 1
# Symmetry = Immm
# VASP energy = -5.87 eV per atom
# Total moment = 7.95 μB per formula unit

---

Record 2
# Ho3ReO7 PBEsol optimized geometry
data_Ho3ReO7
_chemical_formula_sum 'Ho6 Re2 O14'
_cell_length_a 6.3207
_cell_length_b 6.3207
_cell_length_c 7.3496
_cell_angle_alpha 90.00
_cell_angle_beta 90.00
_cell_angle_gamma 69.74
_symmetry_space_group_name_H-M 'P 1'
_symmetry_Int_Tables_number 1
loop_
_symmetry_equiv_pos_as_xyz
'x,y,z'
loop_
_atom_site_label
_atom_site_type_symbol
_atom_site_fract_x
_atom_site_fract_y
_atom_site_fract_z
_atom_site_occupancy
Ho1 Ho 0.0000 0.0000 0.0000 1
Ho2 Ho 0.0000 0.0000 0.5000 1
Ho3 Ho 0.0595 0.4790 0.7500 1
Ho4 Ho 0.4790 0.0595 0.2500 1
Ho5 Ho 0.5210 0.9405 0.7500 1
Ho6 Ho 0.9405 0.5210 0.2500 1
Re1 Re 0.5000 0.5000 0.0000 1
Re2 Re 0.5000 0.5000 0.5000 1
O1 O 0.1102 0.1550 0.2500 1
O2 O 0.1550 0.1102 0.7500 1
O3 O 0.1727 0.5700 0.0312 1
O4 O 0.1727 0.5700 0.4688 1
O5 O 0.4300 0.8273 0.0312 1
O6 O 0.4300 0.8273 0.4688 1
O7 O 0.4463 0.5537 0.7500 1
O8 O 0.5537 0.4463 0.2500 1
O9 O 0.5700 0.1727 0.5312 1
O10 O 0.5700 0.1727 0.9688 1
O11 O 0.8273 0.4300 0.5312 1
O12 O 0.8273 0.4300 0.9688 1
O13 O 0.8450 0.8898 0.2500 1
O14 O 0.8898 0.8450 0.7500 1
# Symmetry = Cmcm
# VASP energy = -8.87 eV per atom
# Total moment = 0.65 μB per formula unit
# Excess energy over the best structure of this formula in the dataset = 11 meV/atom
# Energy relative to the elements, uncorrected = -286.02 kJ per mole of atoms

---

Record 3
# ScMnTeN2 PBEsol optimized geometry
data_ScMnTeN2
_chemical_formula_sum 'Sc1 Mn1 Te1 N2'
_cell_length_a 4.0215
_cell_length_b 4.0215
_cell_length_c 5.8747
_cell_angle_alpha 90.00
_cell_angle_beta 90.00
_cell_angle_gamma 90.00
_symmetry_space_group_name_H-M 'P 1'
_symmetry_Int_Tables_number 1
loop_
_symmetry_equiv_pos_as_xyz
'x,y,z'
loop_
_atom_site_label
_atom_site_type_symbol
_atom_site_fract_x
_atom_site_fract_y
_atom_site_fract_z
_atom_site_occupancy
Sc1 Sc 0.0000 0.0000 0.0000 1
Mn1 Mn 0.5000 0.5000 0.5000 1
Te1 Te 0.0000 0.0000 0.5000 1
N1 N 0.0000 0.5000 0.0000 1
N2 N 0.5000 0.0000 0.0000 1
# Symmetry = P4/mmm
# VASP energy = -6.69 eV per atom
# Total moment = 5.09 μB per formula unit
# Energy relative to the elements, uncorrected = 67.27 kJ per mole of atoms